# 1
The following is a PBE calculation of a relaxed PuVCl crystal, from the Alexandria database.

Geometry as extended XYZ:
```
6
Lattice="3.019 0.000 0.000 -1.369 4.494 0.000 -0.258 -2.157 9.429" Properties=species:S:1:pos:R:3 pbc="T T T"
Pu -0.385 1.700 0.946
Pu 1.778 0.637 8.483
V 1.093 -1.777 8.039
V 0.299 4.113 1.390
Cl 0.150 0.076 3.205
Cl 1.242 2.260 6.224
```

Output
formation energy (no corrections): -0.740 eV/f.u.
calculated density: 8.58 g cm⁻³

***

# 2
The following is a PBE calculation of a relaxed PuVCl4 crystal, from the Alexandria database.

Geometry as extended XYZ:
```
6
Lattice="6.509 -1.871 0.000 6.509 1.871 0.000 -1.496 0.000 6.716" Properties=species:S:1:pos:R:3 pbc="T T T"
Pu 0.000 0.000 0.000
V 5.761 0.000 3.358
Cl 0.805 0.000 2.701
Cl 4.683 0.000 1.083
Cl 6.839 0.000 5.633
Cl 10.717 0.000 4.015
```

Output
formation energy (no corrections): -8.438 eV/f.u.
calculated density: 4.43 g cm⁻³

***

# 3
The following is a PBE calculation of a relaxed PuVCl5 crystal, from the Alexandria database.

Geometry as extended XYZ:
```
14
Lattice="7.513 0.000 0.000 0.000 3.792 0.000 -3.166 0.000 14.306" Properties=species:S:1:pos:R:3 pbc="T T T"
Pu 0.835 0.948 1.969
Pu 3.512 2.844 12.337
V 1.799 2.844 5.632
V 2.547 0.948 8.675
Cl -2.143 0.948 13.326
Cl -0.010 2.844 4.025
Cl 0.764 0.948 6.958
Cl 2.694 2.844 1.478
Cl 1.543 2.844 9.892
Cl 2.804 0.948 4.414
Cl 1.653 0.948 12.829
Cl 3.583 2.844 7.348
Cl 4.356 0.948 10.281
Cl 6.489 2.844 0.981
```

Output
formation energy (no corrections): -11.052 eV/f.u.
calculated density: 3.85 g cm⁻³

***

# 4
The following is a PBE calculation of a relaxed Pu2VCl8 crystal, from the Alexandria database.

Geometry as extended XYZ:
```
11
Lattice="10.588 -1.917 0.000 10.588 1.917 0.000 -1.677 0.000 7.710" Properties=species:S:1:pos:R:3 pbc="T T T"
Pu 2.695 0.000 2.615
Pu 16.804 0.000 5.095
V 10.588 0.000 0.000
Cl -0.179 0.000 1.588
Cl 4.110 0.000 5.215
Cl 6.531 0.000 7.275
Cl 7.495 0.000 3.680
Cl 12.004 0.000 4.030
Cl 12.967 0.000 0.436
Cl 15.389 0.000 2.495
Cl 19.678 0.000 6.123
```

Output
formation energy (no corrections): -18.698 eV/f.u.
calculated density: 4.36 g cm⁻³

***

# 5
The following is a PBE calculation of a relaxed YPuCl5 crystal, from the Alexandria database.

Geometry as extended XYZ:
```
14
Lattice="5.572 -4.553 0.000 5.572 4.553 0.000 -5.244 0.000 9.539" Properties=species:S:1:pos:R:3 pbc="T T T"
Y 0.000 0.000 0.000
Y -2.622 0.000 4.769
Pu 1.639 1.374 7.154
Pu 4.261 -1.374 2.385
Cl 1.639 4.282 7.154
Cl 2.304 0.202 1.280
Cl 2.819 1.922 4.680
Cl -0.318 -0.202 6.050
Cl 5.704 1.922 0.089
Cl 0.197 -1.922 9.450
Cl 6.218 0.202 3.489
Cl 3.082 -1.922 4.858
Cl 3.596 -0.202 8.258
Cl 4.261 -4.282 2.385
```

Output
formation energy (no corrections): -13.856 eV/f.u.
calculated density: 3.50 g cm⁻³

***

# 6
The following is a PBE calculation of a relaxed YPuCl6 crystal, from the Alexandria database.

Geometry as extended XYZ:
```
8
Lattice="3.396 -6.197 0.000 3.396 6.197 0.000 -1.815 0.000 6.467" Properties=species:S:1:pos:R:3 pbc="T T T"
Y 0.000 0.000 0.000
Pu 2.488 0.000 3.233
Cl 1.196 1.768 1.594
Cl 0.316 0.000 4.882
Cl 1.196 -1.768 1.594
Cl 3.781 1.768 4.873
Cl 4.660 0.000 1.585
Cl 3.781 -1.768 4.873
```

Output
formation energy (no corrections): -16.495 eV/f.u.
calculated density: 3.33 g cm⁻³
E above lowest polymorph: 0.000 eV/atom